An optimized crystal structure of Pb2SF. Source: the Alexandria database, functional PBE-GGA.

POSCAR file:
```
Pb2SF
1.0
-4.6047 2.1007 -3.9085
2.6212 -5.7129 -2.4676
-5.5748 -3.3511 8.1525
S Pb F
4 8 4
Direct
0.9403 0.1903 0.3806
0.6873 0.9373 0.8745
0.0597 0.8097 0.6194
0.3127 0.0627 0.1255
0.3997 0.1889 0.8693
0.3200 0.5272 0.6137
0.7937 0.0865 0.6137
0.9696 0.6805 0.8693
0.2063 0.9135 0.3863
0.6003 0.8111 0.1307
0.0304 0.3195 0.1307
0.6800 0.4728 0.3863
0.6107 0.3607 0.7214
0.3893 0.6393 0.2786
0.7588 0.5088 0.0175
0.2412 0.4912 0.9825
```

Values from the calculation:
As for the symmetry: C2/c (15). Its formation energy (no corrections) is -4.079 eV/f.u.